A relaxed structure of Pr8Nd5Pb. Source: the Alexandria database, functional PBE-GGA.

Cell lengths 9.068, 9.068, 8.998 Å; angles 119.54, 119.54, 55.37 degrees
Element x y z (fractional)
Pr  0.134  0.134  0.202
Pr  0.201  0.524  0.389
Pr  0.242  0.312  0.702
Pr  0.476  0.799  0.611
Pr  0.525  0.108  0.084
Pr  0.688  0.758  0.298
Pr  0.866  0.866  0.798
Pr  0.892  0.475  0.916
Nd  0.008  0.992  0.500
Nd  0.264  0.666  0.148
Nd  0.334  0.736  0.852
Nd  0.598  0.236  0.581
Nd  0.764  0.402  0.419
Pb  0.653  0.347  0.000

---

A relaxed structure of Pm2YTl. Source: the Alexandria database, functional PBE-GGA.

Cell lengths 4.878, 4.878, 5.041 Å; angles 90.00, 90.00, 90.00 degrees
Element x y z (fractional)
Pm  0.000  0.500  0.000
Pm  0.500  0.000  0.000
Y  0.000  0.000  0.500
Tl  0.500  0.500  0.500

Calculated values
Excess energy over the best structure of this formula in the dataset = 0.0 meV per atom

---

A relaxed structure of Sc2CrSbC. Source: the Alexandria database, functional PBE-GGA.

Cell lengths 4.589, 4.589, 3.957 Å; angles 90.00, 90.00, 90.00 degrees
Element x y z (fractional)
Sc  0.000  0.500  0.000
Sc  0.500  0.000  0.000
Cr  0.000  0.000  0.500
Sb  0.500  0.500  0.500
C  0.000  0.000  0.000

Calculated values
Uncorrected formation energy = -470.4 meV/atom

---

A relaxed structure of Li4BiPd3. Source: the Alexandria database, functional PBE-GGA.

Cell lengths 5.321, 9.502, 5.318 Å; angles 90.00, 90.00, 90.00 degrees
Element x y z (fractional)
Li  0.000  0.121  0.000
Li  0.000  0.878  0.772
Li  0.243  0.397  0.592
Li  0.257  0.603  0.092
Li  0.500  0.122  0.272
Li  0.500  0.879  0.500
Li  0.743  0.603  0.092
Li  0.757  0.397  0.592
Bi  0.000  0.860  0.270
Bi  0.500  0.140  0.770
Pd  0.000  0.144  0.494
Pd  0.248  0.337  0.100
Pd  0.252  0.663  0.600
Pd  0.500  0.856  0.994
Pd  0.748  0.663  0.600
Pd  0.752  0.337  0.100

Calculated values
Excess energy over the best structure of this formula in the dataset = 66.1 meV per atom

---

A relaxed structure of TbTm4Sc3. Source: the Alexandria database, functional PBE-GGA.

Cell lengths 6.813, 6.813, 5.908 Å; angles 106.71, 106.71, 60.23 degrees
Element x y z (fractional)
Tb  0.000  0.000  0.000
Tm  0.000  0.500  0.000
Tm  0.252  0.252  0.505
Tm  0.500  0.000  0.000
Tm  0.748  0.748  0.495
Sc  0.253  0.747  0.500
Sc  0.500  0.500  0.000
Sc  0.747  0.253  0.500

Calculated values
Excess energy over the best structure of this formula in the dataset = 34.5 meV per atom

---

A relaxed structure of Dy8TlPb5. Source: the Alexandria database, functional PBE-GGA.

Cell lengths 8.135, 8.135, 8.135 Å; angles 109.53, 109.53, 109.36 degrees
Element x y z (fractional)
Dy  0.125  0.376  0.108
Dy  0.127  0.377  0.612
Dy  0.267  0.016  0.892
Dy  0.485  0.873  0.251
Dy  0.623  0.234  0.749
Dy  0.624  0.733  0.749
Dy  0.766  0.515  0.388
Dy  0.984  0.875  0.251
Tl  0.500  0.500  0.000
Pb  0.250  0.750  0.500
Pb  0.375  0.250  0.374
Pb  0.750  0.124  0.125
Pb  0.876  0.001  0.626
Pb  0.999  0.625  0.875

---

A relaxed structure of La2NdBi. Source: the Alexandria database, functional PBE-GGA.

Cell lengths 10.232, 10.232, 10.232 Å; angles 23.80, 23.80, 23.80 degrees
Element x y z (fractional)
La  0.000  0.000  0.000
La  0.191  0.191  0.191
Nd  0.429  0.429  0.429
Bi  0.595  0.595  0.595

Calculated values
Excess energy over the best structure of this formula in the dataset = 218.8 meV per atom

---

A relaxed structure of Sc2BeTlN. Source: the Alexandria database, functional PBE-GGA.

Cell lengths 4.680, 4.680, 3.545 Å; angles 90.00, 90.00, 90.00 degrees
Element x y z (fractional)
Sc  0.000  0.500  0.000
Sc  0.500  0.000  0.000
Be  0.000  0.000  0.500
Tl  0.500  0.500  0.500
N  0.000  0.000  0.000

Calculated values
Uncorrected formation energy = -681.6 meV/atom

---

Magnetic moment, respectively: 0.00; 0.01; 1.60; 0.00; 0.00; 0.00; 0.05; 0.00 Bohr magnetons per cell.
Final energy, respectively: -4.6447; -4.7840; -7.5969; -3.6698; -5.1377; -4.6075; -4.8986; -6.0978 eV/atom.